AsIBr2Cl: optimized geometry, PBE-GGA.

Unit cell a=5.202 b=5.202 c=5.493 alpha=90.00 beta=90.00 gamma=90.00
Element x y z (fractional)
As 0.000 0.000 0.000
I 0.500 0.500 0.000
Br 0.000 0.500 0.500
Br 0.500 0.000 0.500
Cl 0.000 0.000 0.500

Calculated values
Raw formation energy = 663 meV per atom
Magnetic moment = 0.00 Bohr magnetons per cell
Excess energy over the best structure of this formula in the dataset = 57 meV/atom
DOS at the Fermi energy = 4.6 states/eV/cell